The following is a DFT calculation (GGA-PBE) of a relaxed YPd6Au2 crystal.

Calculated values
The density of states at the Fermi level is 5.9 states/eV per cell. As for the excess energy over the best structure of this formula in the dataset: 0.000 eV/atom. Its calculated formation energy is -431 meV/atom. The crystal system is tetragonal. Its energy is -5.34 eV per atom.

a b c (Å): 4.197 8.533 8.533
angles (deg): 90.00 90.00 90.00
Fractional coordinates of all 18 atoms:
Au1 0.500 0.176 0.324
Au2 0.000 0.324 0.824
Au3 0.500 0.824 0.676
Au4 0.000 0.676 0.176
Pd1 0.500 0.836 0.005
Pd2 0.000 0.666 0.834
Pd3 0.000 0.664 0.505
Pd4 0.500 0.834 0.334
Pd5 0.500 0.495 0.664
Pd6 0.000 0.005 0.164
Pd7 0.000 0.334 0.166
Pd8 0.500 0.164 0.995
Pd9 0.000 0.995 0.836
Pd10 0.500 0.505 0.336
Pd11 0.500 0.166 0.666
Pd12 0.000 0.336 0.495
Y1 0.500 0.500 0.000
Y2 0.000 0.000 0.500

---

The following is a DFT calculation (GGA-PBE) of a relaxed YTiBr2 crystal.

Calculated values
The density of states at the Fermi level is 6.0 states/eV per cell. The value obtained for the uncorrected formation energy is -332 meV/atom. As for the excess energy over the best structure of this formula in the dataset: 0.240 eV/atom. The crystal system is cubic. Its energy is -4.76 eV per atom.

a b c (Å): 4.928 4.928 4.928
angles (deg): 60.00 60.00 60.00
Last column: magnetic moment on the atom in μB.
Fractional coordinates of all 4 atoms:
Ti1 0.000 0.000 0.000  0.76
Y1 0.500 0.500 0.500  -0.06
Br1 0.250 0.250 0.250  0.00
Br2 0.750 0.750 0.750  0.00

---

The following is a DFT calculation (GGA-PBE) of a relaxed Nd3Se2N crystal.

Calculated values
The density of states at the Fermi level is 2.5 states/eV per cell. The value obtained for the uncorrected formation energy is -1619 meV/atom. As for the excess energy over the best structure of this formula in the dataset: 0.000 eV/atom. The crystal system is orthorhombic. Its energy is -6.55 eV per atom.

a b c (Å): 3.857 5.751 7.233
angles (deg): 113.43 105.46 90.00
Fractional coordinates of all 6 atoms:
N1 0.000 0.500 0.000
Nd1 0.633 0.633 0.266
Nd2 0.367 0.367 0.734
Nd3 0.000 0.000 0.000
Se1 0.677 0.177 0.354
Se2 0.323 0.823 0.646

---

Which value of energy does entry 1 give?
-5.34 eV per atom

---

What is the density of states at the Fermi level in the second record?
6.0 states/eV per cell

---

Which of these has the highest excess energy over the best structure of this formula in the dataset?
YTiBr2